A plane-wave DFT calculation with PBE was carried out for an optimized crystal structure of RbMnZn2I.

Results
ρ: 2666 kg/m3
calculated total energy: -2.208 eV per atom
formation energy without anion corrections: 0.639 eV/atom

Cell lengths 6.8333, 6.8333, 5.3098 Å; angles 90.00, 90.00, 90.00 degrees
Each line ends with the local moment (μB).
Element x y z (fractional)
Zn (0.5000, 0.0000, 0.0000)  0.00
Zn (0.0000, 0.5000, 0.0000)  0.00
Rb (0.5000, 0.5000, 0.5000)  -0.01
I (0.0000, 0.0000, 0.0000)  0.03
Mn (0.0000, 0.0000, 0.5000)  4.07

A plane-wave DFT calculation with PBE was carried out for an optimized crystal structure of Zn3Pd6Au.

Results
ρ: 11347 kg/m3
calculated total energy: -4.226 eV per atom
distance to the lowest polymorph of the same formula: 0.0 meV per atom
energy of formation from the pure elements: -0.40 eV/atom

Cell lengths 4.1930, 8.0410, 9.0653 Å; angles 98.91, 90.00, 90.00 degrees
Element x y z (fractional)
Pd (0.2500, 0.6296, 0.6908)
Pd (0.2500, 0.1511, 0.2094)
Pd (0.7500, 0.5402, 0.9003)
Pd (0.2500, 0.8234, 0.2783)
Pd (0.7500, 0.8489, 0.7906)
Pd (0.7500, 0.1766, 0.7217)
Pd (0.2500, 0.0664, 0.9072)
Pd (0.2500, 0.4598, 0.0997)
Pd (0.7500, 0.7256, 0.4834)
Pd (0.7500, 0.3704, 0.3092)
Pd (0.2500, 0.2744, 0.5166)
Pd (0.7500, 0.9336, 0.0928)
Au (0.2500, 0.9497, 0.5987)
Au (0.7500, 0.0503, 0.4013)
Zn (0.2500, 0.7565, 0.9767)
Zn (0.2500, 0.3540, 0.8101)
Zn (0.7500, 0.4528, 0.6047)
Zn (0.7500, 0.2435, 0.0233)
Zn (0.7500, 0.6460, 0.1899)
Zn (0.2500, 0.5472, 0.3953)